A plane-wave DFT calculation with SCAN was carried out for a PBEsol-optimized structure of Tc3SeF.

SG = Pm-3m
Total DFT energy (no corrections) = -24.42 eV/atom
Formation energy without anion corrections = 1.344 eV/atom
Total magnetization = 4.390 Bohr magnetons per cell

a b c (Å): 4.5359 4.5359 4.5359
angles (deg): 90.00 90.00 90.00
With the nearest neighbours (Å) after each atom.
Sites, in units of the cell vectors:
Tc: 0.0000 0.0000 0.5000  2 Se 2.27
Tc: 0.0000 0.5000 0.0000  2 Se 2.27
Tc: 0.5000 0.0000 0.0000  2 Se 2.27
Se: 0.0000 0.0000 0.0000  6 Tc 2.27
F: 0.5000 0.5000 0.5000  12 Tc 3.21

---

A plane-wave DFT calculation with SCAN was carried out for a PBEsol-optimized structure of AgWBr2.

SG = Pmmm
Total DFT energy (no corrections) = -33.88 eV/atom
Excess energy over the best structure of this formula in the dataset = 194 kJ/mol of formula units
Formation energy without anion corrections = 1.115 eV/atom
Total magnetization = 2.303 Bohr magnetons per cell

a b c (Å): 3.0323 4.4525 5.8624
angles (deg): 90.00 90.00 90.00
With the nearest neighbours (Å) after each atom.
Sites, in units of the cell vectors:
Ag: 0.0000 0.0000 0.0000  4 Br 2.69
W: 0.5000 0.0000 0.5000  4 Br 2.69
Br: 0.0000 0.5000 0.5000  4 W 2.69
Br: 0.5000 0.5000 0.0000  4 Ag 2.69

---

A plane-wave DFT calculation with SCAN was carried out for a PBEsol-optimized structure of Mn2SnPdW.

SG = P4/mmm
ΔH_f (0 K) = 1.0940 eV/atom
Total DFT energy (no corrections) = -33.88 eV/atom
Total magnetization = 6.603 Bohr magnetons per cell

a b c (Å): 4.4992 4.4992 5.1283
angles (deg): 90.00 90.00 90.00
With the nearest neighbours (Å) after each atom.
Sites, in units of the cell vectors:
Mn: 0.0000 0.5000 0.0000  2 W 2.25
Mn: 0.5000 0.0000 0.0000  2 W 2.25
Sn: 0.0000 0.0000 0.5000  2 W 2.56
Pd: 0.5000 0.5000 0.5000  4 Sn 3.18, 8 Mn 3.41
W: 0.0000 0.0000 0.0000  4 Mn 2.25

---

A plane-wave DFT calculation with SCAN was carried out for a PBEsol-optimized structure of Sc7P3.

SG = P6_3mc
ΔH_f (0 K) = -1.0508 eV/atom
Total DFT energy (no corrections) = -14.14 eV/atom
Total magnetization = 0.006 Bohr magnetons per cell

a b c (Å): 8.8946 8.8946 5.5329
angles (deg): 90.00 90.00 120.00
With the nearest neighbours (Å) after each atom.
Sites, in units of the cell vectors:
Sc: 0.0660 0.5330 0.0000  4 P 2.67-2.97, 2 Sc 2.95
Sc: 0.1238 0.2476 0.2546  3 P 2.60-2.72
Sc: 0.1238 0.8762 0.2546  3 P 2.60-2.72
Sc: 0.2476 0.1238 0.7546  3 P 2.60-2.72
Sc: 0.3333 0.6667 0.4421  3 P 2.64
Sc: 0.4670 0.5330 0.0000  4 P 2.67-2.97, 2 Sc 2.95
Sc: 0.4670 0.9340 0.0000  4 P 2.67-2.97, 2 Sc 2.95
Sc: 0.5330 0.0660 0.5000  4 P 2.67-2.97, 2 Sc 2.95
Sc: 0.5330 0.4670 0.5000  4 P 2.67-2.97, 2 Sc 2.95
Sc: 0.6667 0.3333 0.9421  3 P 2.64
Sc: 0.7524 0.8762 0.2546  3 P 2.60-2.72
Sc: 0.8762 0.1238 0.7546  3 P 2.60-2.72
Sc: 0.8762 0.7524 0.7546  3 P 2.60-2.72
Sc: 0.9340 0.4670 0.5000  4 P 2.67-2.97, 2 Sc 2.95
P: 0.1915 0.3830 0.7086  6 Sc 2.60-2.72
P: 0.1915 0.8085 0.7086  6 Sc 2.60-2.72
P: 0.3830 0.1915 0.2086  6 Sc 2.60-2.72
P: 0.6170 0.8085 0.7086  6 Sc 2.60-2.72
P: 0.8085 0.1915 0.2086  6 Sc 2.60-2.72
P: 0.8085 0.6170 0.2086  6 Sc 2.60-2.72

---

A plane-wave DFT calculation with SCAN was carried out for a PBEsol-optimized structure of AlTlTe.

SG = F-43m
Total DFT energy (no corrections) = -38.87 eV/atom
Excess energy over the best structure of this formula in the dataset = 106 kJ/mol of formula units
Formation energy without anion corrections = 0.253 eV/atom
Total magnetization = 0.000 Bohr magnetons per cell

a b c (Å): 5.1958 5.1958 5.1958
angles (deg): 60.00 60.00 60.00
With the nearest neighbours (Å) after each atom.
Sites, in units of the cell vectors:
Al: 0.0000 0.0000 0.0000  4 Te 3.18
Tl: 0.5000 0.5000 0.5000  4 Te 3.18
Te: 0.7500 0.7500 0.7500  4 Tl 3.18, 4 Al 3.18

---

A plane-wave DFT calculation with SCAN was carried out for a PBEsol-optimized structure of YMgAl4.

SG = F-43m
ΔH_f (0 K) = -0.2654 eV/atom
Total DFT energy (no corrections) = -10.90 eV/atom
Excess energy over the best structure of this formula in the dataset = 8 kJ/mol of formula units
Total magnetization = 0.278 Bohr magnetons per cell

a b c (Å): 5.4722 5.4722 5.4722
angles (deg): 60.00 60.00 60.00
With the nearest neighbours (Å) after each atom.
Sites, in units of the cell vectors:
Y: 0.0000 0.0000 0.0000  12 Al 3.21, 4 Mg 3.35
Mg: 0.7500 0.7500 0.7500  12 Al 3.21, 4 Y 3.35
Al: 0.3750 0.3750 0.3750  6 Al 2.74
Al: 0.3750 0.3750 0.8750  6 Al 2.74
Al: 0.3750 0.8750 0.3750  6 Al 2.74
Al: 0.8750 0.3750 0.3750  6 Al 2.74